1.
First-principles (PBE) data for La5Dy2Ho after structural relaxation, as listed in Alexandria via LeMat-Bulk.

The density of states at the Fermi level is 46.0 states/eV/cell. The calculation puts the total energy at -4.6872 eV/atom. The calculation puts the energy of formation from the pure elements at 115 meV/atom. The calculation puts the excess energy over the best structure of this formula in the dataset at 0 meV/atom.

The space group is Cmcm (No. 63) and the conventional cell measures 5.678, 12.143 and 16.550 Å, with angles of 90.00, 90.00 and 90.00 degrees. The asymmetric unit holds La at (0.000, 0.032, 0.250), La at (0.000, 0.115, 0.552), La at (0.000, 0.424, 0.594), Dy at (0.000, 0.274, 0.136) and Ho at (0.000, 0.248, 0.750).


2.
First-principles (PBE) data for La2Dy3Ho after structural relaxation, as listed in Alexandria via LeMat-Bulk.

The density of states at the Fermi level is 40.6 states/eV/cell. The calculation puts the total energy at -4.6113 eV/atom. The calculation puts the energy of formation from the pure elements at 95 meV/atom. The calculation puts the excess energy over the best structure of this formula in the dataset at 26 meV/atom.

The space group is C2/m (No. 12) and the conventional cell measures 17.151, 5.617 and 10.238 Å, with angles of 90.00, 124.92 and 90.00 degrees. The asymmetric unit holds La at (0.011, 0.000, 0.366), La at (0.227, 0.500, 0.367), Dy at (0.051, 0.500, 0.899), Dy at (0.112, 0.000, 0.153), Dy at (0.205, 0.000, 0.922) and Ho at (0.135, 0.500, 0.647).


3.
First-principles (PBE) data for La3Dy2Ho after structural relaxation, as listed in Alexandria via LeMat-Bulk.

The density of states at the Fermi level is 20.3 states/eV/cell. The calculation puts the total energy at -4.4354 eV/atom. The calculation puts the energy of formation from the pure elements at 325 meV/atom. The calculation puts the excess energy over the best structure of this formula in the dataset at 307 meV/atom.

The space group is Immm (No. 71) and the conventional cell measures 3.481, 6.024 and 19.747 Å, with angles of 90.00, 90.00 and 90.00 degrees. The asymmetric unit holds La at (0.000, 0.000, 0.000), La at (0.000, 0.500, 0.187), Dy at (0.000, 0.500, 0.363) and Ho at (0.000, 0.500, 0.000).


4.
First-principles (PBE) data for La2Dy3Ho7 after structural relaxation, as listed in Alexandria via LeMat-Bulk.

The density of states at the Fermi level is 35.9 states/eV/cell. The calculation puts the total energy at -4.5200 eV/atom. The calculation puts the energy of formation from the pure elements at 122 meV/atom. The calculation puts the excess energy over the best structure of this formula in the dataset at 36 meV/atom.

The space group is Cmmm (No. 65) and the conventional cell measures 5.697, 38.060 and 3.612 Å, with angles of 90.00, 90.00 and 90.00 degrees. The asymmetric unit holds La at (0.000, 0.147, 0.000), Dy at (0.000, 0.313, 0.500), Dy at (0.000, 0.500, 0.500), Ho at (0.000, 0.000, 0.000), Ho at (0.000, 0.070, 0.500), Ho at (0.000, 0.231, 0.000) and Ho at (0.000, 0.412, 0.000).